1.
First-principles (PBE-GGA) data for an optimized crystal structure of TmScNiAu, as listed in Alexandria via LeMat-Bulk.

Computed properties:
The density of states at the Fermi level is 12.30 states/eV/cell. As for the calculated total energy: -89.21 eV/cell. The calculation puts the energy relative to the elements at -2.44 eV per formula unit.

Lattice parameters (Å, degrees): 6.764 6.764 6.764 90.00 90.00 90.00
Space group F-43m (No. 216)
Symmetry-distinct sites (fractional):
Tm1 0.000 0.000 0.000 (multiplicity 4)
Sc1 0.000 0.000 0.500 (multiplicity 4)
Ni1 0.250 0.250 0.250 (multiplicity 4)
Au1 0.250 0.250 0.750 (multiplicity 4)

---

2.
First-principles (PBE-GGA) data for an optimized crystal structure of Cs6K3Au2, as listed in Alexandria via LeMat-Bulk.

Computed properties:
The density of states at the Fermi level is 14.57 states/eV/cell. As for the calculated total energy: -31.26 eV/cell. The calculation puts the energy relative to the elements at -0.66 eV per formula unit.

Lattice parameters (Å, degrees): 6.717 6.717 41.156 90.00 90.00 90.00
Space group I4/mmm (No. 139)
Symmetry-distinct sites (fractional):
Cs1 0.000 0.000 0.208 (multiplicity 4)
Cs2 0.000 0.500 0.089 (multiplicity 8)
K1 0.000 0.000 0.328 (multiplicity 4)
K2 0.000 0.000 0.500 (multiplicity 2)
Au1 0.000 0.000 0.122 (multiplicity 4)